Compound: TbErPb4
Source: OQMD via LeMat-Bulk
Functional: GGA-PBE
Structure: optimized geometry

Its total energy is -3.778 eV per atom.

The space group is Amm2 (No. 38) and the conventional cell measures 3.306, 6.313 and 19.255 Å, with angles of 90.00, 90.00 and 90.00 degrees. The inequivalent atoms are Tb at (0.000, 0.000, 0.000), Er at (0.000, 0.000, 0.181), Pb at (0.000, 0.000, 0.347), Pb at (0.000, 0.000, 0.510), Pb at (0.000, 0.000, 0.676) and Pb at (0.000, 0.000, 0.836).

Compound: YScAl2Pd4
Source: OQMD via LeMat-Bulk
Functional: GGA-PBE
Structure: optimized geometry

Its total energy is -6.048 eV per atom.

The space group is P-6m2 (No. 187) and the conventional cell measures 4.3168, 4.3168 and 8.9646 Å, with angles of 90.00, 90.00 and 120.00 degrees. The inequivalent atoms are Y at (0.0000, 0.0000, 0.0000), Sc at (0.3333, 0.6667, 0.5000), Al at (0.6667, 0.3333, 0.2617), Pd at (0.0000, 0.0000, 0.3408) and Pd at (0.3333, 0.6667, 0.1767).

Compound: Dy2ErIn3AgPt2
Source: OQMD via LeMat-Bulk
Functional: GGA-PBE
Structure: optimized geometry

Its total energy is -4.927 eV per atom.

The space group is Amm2 (No. 38) and the conventional cell measures 3.759, 13.519 and 7.820 Å, with angles of 90.00, 90.00 and 90.00 degrees. The inequivalent atoms are Dy at (0.000, 0.205, 0.000), Er at (0.000, 0.000, 0.386), In at (0.500, 0.000, 0.065), In at (0.500, 0.134, 0.661), Ag at (0.000, 0.000, 0.795) and Pt at (0.500, 0.166, 0.296).

Compound: Tm2Lu5Ni2Te2
Source: OQMD via LeMat-Bulk
Functional: GGA-PBE
Structure: optimized geometry

Its total energy is -5.123 eV per atom.

The space group is Imm2 (No. 44) and the conventional cell measures 3.798, 15.241 and 9.409 Å, with angles of 90.00, 90.00 and 90.00 degrees. The inequivalent atoms are Tm at (0.000, 0.185, 0.000), Lu at (0.000, 0.146, 0.352), Lu at (0.000, 0.365, 0.205), Lu at (0.000, 0.500, 0.624), Ni at (0.000, 0.264, 0.693), Te at (0.000, 0.000, 0.856) and Te at (0.000, 0.500, 0.962).

Compound: ZrTl2CuBr6
Source: OQMD via LeMat-Bulk
Functional: GGA-PBE
Structure: optimized geometry

Its total energy is -3.520 eV per atom.

The space group is I4/mmm (No. 139) and the conventional cell measures 7.588, 7.588 and 10.673 Å, with angles of 90.00, 90.00 and 90.00 degrees. The inequivalent atoms are Zr at (0.000, 0.000, 0.000), Tl at (0.000, 0.500, 0.250), Cu at (0.000, 0.000, 0.500), Br at (0.000, 0.000, 0.253) and Br at (0.248, 0.248, 0.500).

Compound: RbFeNiSe3
Source: OQMD via LeMat-Bulk
Functional: GGA-PBE
Structure: optimized geometry

Its total energy is -4.667 eV per atom.

The space group is P2_1/m (No. 11) and the conventional cell measures 8.705, 3.726 and 9.901 Å, with angles of 90.00, 116.05 and 90.00 degrees. The inequivalent atoms are Rb at (0.234, 0.250, 0.255), Fe at (0.086, 0.250, 0.604), Ni at (0.327, 0.750, 0.854), Se at (0.144, 0.250, 0.861), Se at (0.226, 0.750, 0.549) and Se at (0.485, 0.750, 0.132).

Question: What is the total energy in the sixth record?
Answer: -4.667 eV per atom

Question: The highest total energy belongs to which entry?
Answer: ZrTl2CuBr6

Question: Which of these has the highest total energy?
Answer: ZrTl2CuBr6